No. 1
## Tb12YEr6 (PBE-GGA)

Data for crystalline Tb12YEr6 at its relaxed geometry.

a = 8.5100 Å, b = 8.5100 Å, c = 8.5100 Å
α = 88.50°, β = 88.50°, γ = 88.50°
Atoms (fractional coordinates):
1 Tb 0.0123 0.3589 0.2026
2 Tb 0.2026 0.0123 0.3589
3 Tb 0.2240 0.5661 0.4586
4 Tb 0.3589 0.2026 0.0123
5 Tb 0.4339 0.5414 0.7760
6 Tb 0.4586 0.2240 0.5661
7 Tb 0.5414 0.7760 0.4339
8 Tb 0.5661 0.4586 0.2240
9 Tb 0.6411 0.7974 0.9877
10 Tb 0.7760 0.4339 0.5414
11 Tb 0.7974 0.9877 0.6411
12 Tb 0.9877 0.6411 0.7974
13 Y 0.0000 0.0000 0.0000
14 Er 0.0950 0.2586 0.6936
15 Er 0.2586 0.6936 0.0950
16 Er 0.3064 0.9050 0.7414
17 Er 0.6936 0.0950 0.2586
18 Er 0.7414 0.3064 0.9050
19 Er 0.9050 0.7414 0.3064

Results
Final energy = -4.551 eV/atom
Symmetry = R-3 (148)
Offset from the most stable computed form = 0 meV/atom
Magnetic moment = 0.00 μB/f.u.
Calculated formation energy = 155 meV/atom
V = 32.404 Å³/atom



No. 2
## TbY4Er2 (PBE-GGA)

Data for crystalline TbY4Er2 at its relaxed geometry.

a = 3.4956 Å, b = 8.5178 Å, c = 8.6744 Å
α = 64.12°, β = 89.90°, γ = 78.17°
Atoms (fractional coordinates):
1 Tb 0.0000 0.0000 0.0000
2 Y 0.0783 0.8407 0.7013
3 Y 0.3637 0.2733 0.5933
4 Y 0.6363 0.7267 0.4067
5 Y 0.9217 0.1593 0.2987
6 Er 0.2231 0.5562 0.1466
7 Er 0.7769 0.4438 0.8534

Results
Final energy = -5.531 eV/atom
Symmetry = P-1 (2)
Offset from the most stable computed form = 0 meV/atom
Magnetic moment = 0.00 μB/f.u.
Calculated formation energy = 128 meV/atom
V = 32.330 Å³/atom



No. 3
## Tb3YEr4 (PBE-GGA)

Data for crystalline Tb3YEr4 at its relaxed geometry.

a = 11.1995 Å, b = 7.2409 Å, c = 6.2588 Å
α = 90.00°, β = 90.00°, γ = 90.00°
Atoms (fractional coordinates):
1 Tb 0.0000 0.1267 0.0000
2 Tb 0.2503 0.1266 0.3341
3 Tb 0.2497 0.8734 0.8341
4 Tb 0.5000 0.8733 0.5000
5 Tb 0.7497 0.1266 0.3341
6 Tb 0.7503 0.8734 0.8341
7 Y 0.0000 0.8736 0.4994
8 Y 0.5000 0.1264 0.9994
9 Er 0.0000 0.3762 0.4997
10 Er 0.0000 0.6231 0.0001
11 Er 0.2497 0.3767 0.8321
12 Er 0.2503 0.6233 0.3321
13 Er 0.5000 0.3769 0.5001
14 Er 0.5000 0.6238 0.9997
15 Er 0.7503 0.3767 0.8321
16 Er 0.7497 0.6233 0.3321

Results
Final energy = -4.821 eV/atom
Symmetry = Pmn2_1 (31)
Offset from the most stable computed form = 0 meV/atom
Magnetic moment = 0.00 μB/f.u.
Calculated formation energy = 4 meV/atom
V = 31.722 Å³/atom



No. 4
## TbY5Er8 (PBE-GGA)

Data for crystalline TbY5Er8 at its relaxed geometry.

a = 8.3940 Å, b = 8.3940 Å, c = 8.3940 Å
α = 110.94°, β = 110.94°, γ = 106.58°
Atoms (fractional coordinates):
1 Tb 0.0000 0.0000 0.0000
2 Y 0.0379 0.4407 0.8240
3 Y 0.2500 0.7500 0.5000
4 Y 0.5593 0.3832 0.5971
5 Y 0.6168 0.2139 0.1760
6 Y 0.7861 0.9621 0.4029
7 Er 0.0926 0.3289 0.4182
8 Er 0.2747 0.1706 0.7558
9 Er 0.3256 0.9074 0.2363
10 Er 0.4148 0.5190 0.2442
11 Er 0.4810 0.7253 0.8958
12 Er 0.6711 0.0893 0.7637
13 Er 0.8294 0.5852 0.1042
14 Er 0.9107 0.6744 0.5818

Results
Final energy = -4.985 eV/atom
Symmetry = I-4 (82)
Magnetic moment = 0.00 μB/f.u.
Calculated formation energy = 261 meV/atom
V = 32.459 Å³/atom